1.
Below is KSrAlO3 after structural relaxation, with properties calculated at the PBE-GGA level.

Unit cell a=3.8355 b=7.0046 c=7.5975 alpha=105.04 beta=90.00 gamma=105.89
Last column: nearest neighbours and their distance in Å.
Positions (direct):
K 0.3466 0.6931 0.9303  7 O 2.79-3.03
O 0.1473 0.2946 0.3448  1 Al 1.81
O 0.1316 0.2632 0.7944  1 Al 1.80
O 0.8684 0.7368 0.2056  1 Al 1.80
Sr 0.3425 0.6851 0.4128  7 O 2.54-2.64
K 0.6534 0.3069 0.0697  7 O 2.79-3.03
Sr 0.6575 0.3149 0.5872  7 O 2.54-2.64
O 0.4925 0.9850 0.7038  2 Al 1.92
O 0.5075 0.0150 0.2962  2 Al 1.92
Al 0.0074 0.0148 0.2775  4 O 1.80-1.92
O 0.8527 0.7054 0.6552  1 Al 1.81
Al 0.9926 0.9852 0.7225  4 O 1.80-1.92

2.
Below is KTaAl2O6 after structural relaxation, with properties calculated at the PBE-GGA level.

Unit cell a=6.2067 b=7.3497 c=7.3497 alpha=105.53 beta=76.40 gamma=76.40
Last column: nearest neighbours and their distance in Å.
Positions (direct):
Ta 0.2500 0.2034 0.7966  4 O 1.86-1.87
O 0.9448 0.3445 0.4236  3 Al 1.81-1.98
Al 0.6575 0.3106 0.4469  5 O 1.81-1.98
O 0.4448 0.4236 0.3445  3 Al 1.81-1.98
O 0.2276 0.9471 0.7457  1 Ta 1.87, 1 Al 1.89
O 0.2724 0.2543 0.0529  1 Ta 1.87, 1 Al 1.89
Al 0.8425 0.5531 0.6894  5 O 1.81-1.98
K 0.7500 0.1020 0.8980  6 O 2.74-2.80
Al 0.3425 0.6894 0.5531  5 O 1.81-1.98
O 0.0552 0.6555 0.5764  3 Al 1.81-1.98
O 0.7724 0.0529 0.2543  1 Ta 1.87, 1 Al 1.89
O 0.7276 0.7457 0.9471  1 Ta 1.87, 1 Al 1.89
O 0.0273 0.6349 0.2083  1 Al 1.86, 1 Ta 1.86
Ta 0.7500 0.7966 0.2034  4 O 1.86-1.87
K 0.2500 0.8980 0.1020  6 O 2.74-2.80
Al 0.1575 0.4469 0.3106  5 O 1.81-1.98
O 0.5273 0.2083 0.6349  1 Al 1.86, 1 Ta 1.86
O 0.5552 0.5764 0.6555  3 Al 1.81-1.98
O 0.4727 0.7917 0.3651  1 Al 1.86, 1 Ta 1.86
O 0.9727 0.3651 0.7917  1 Al 1.86, 1 Ta 1.86

3.
Below is K3Tb3AlO8 after structural relaxation, with properties calculated at the PBE-GGA level.

Unit cell a=6.7591 b=6.7595 c=7.3974 alpha=117.20 beta=90.00 gamma=119.99
Last column: nearest neighbours and their distance in Å.
Positions (direct):
K 0.0000 0.0000 0.0000  6 O 2.78-2.79
O 0.2034 0.9644 0.6678  1 Al 2.02
K 0.5000 0.5000 0.0000  6 O 2.78-2.79
O 0.2389 0.0356 0.3322  1 Al 2.02
Tb 0.5000 0.5000 0.5000  6 O 2.27-2.33
O 0.7966 0.5933 0.3322  1 Al 2.02
O 0.7611 0.9644 0.6678  1 Al 2.02
K 0.0000 0.5000 0.0000  6 O 2.78-2.79
O 0.7966 0.0356 0.3322  1 Al 2.02
Al 0.0000 0.0000 0.5000  6 O 2.02
O 0.2034 0.4067 0.6678  1 Al 2.02
Tb 0.0000 0.5000 0.5000  6 O 2.27-2.33
O 0.7285 0.4570 0.6854  3 Tb 2.27
O 0.2715 0.5430 0.3146  3 Tb 2.27
Tb 0.5000 0.0000 0.5000  6 O 2.27-2.33

4.
Below is K3TbAl2O6 after structural relaxation, with properties calculated at the PBE-GGA level.

Unit cell a=6.0518 b=6.0518 c=7.1028 alpha=90.00 beta=90.00 gamma=120.00
Last column: nearest neighbours and their distance in Å.
Positions (direct):
K 0.3333 0.6667 0.7484  6 O 3.04, 1 Al 3.23
K 0.6667 0.3333 0.2516  6 O 3.04, 1 Al 3.23
O 0.3412 0.1706 0.7044  1 Al 1.71
O 0.8294 0.6588 0.7044  1 Al 1.71
K 0.0000 0.0000 0.0000  6 O 2.76
O 0.1706 0.3412 0.2956  1 Al 1.71
O 0.6588 0.8294 0.2956  1 Al 1.71
Al 0.6667 0.3333 0.7061  3 O 1.71
Al 0.3333 0.6667 0.2939  3 O 1.71
O 0.8294 0.1706 0.7044  1 Al 1.71
O 0.1706 0.8294 0.2956  1 Al 1.71
Tb 0.0000 0.0000 0.5000  6 O 2.30

5.
Below is K3Tb2AlO6 after structural relaxation, with properties calculated at the PBE-GGA level.

Unit cell a=5.7877 b=5.7877 c=6.5017 alpha=98.50 beta=98.50 gamma=120.02
Last column: nearest neighbours and their distance in Å.
Positions (direct):
O 0.6416 0.9409 0.8221  1 Al 2.05
Al 0.0000 0.0000 0.0000  6 O 2.05
K 0.1627 0.8373 0.5000  6 O 2.70-2.95
O 0.2399 0.2399 0.8234  1 Al 2.05
K 0.8373 0.1627 0.5000  6 O 2.70-2.95
O 0.7601 0.7601 0.1766  1 Al 2.05
Tb 0.6668 0.3332 0.0000  6 O 2.31-2.32
Tb 0.3332 0.6668 0.0000  6 O 2.31-2.32
K 0.5000 0.5000 0.5000  6 O 2.72-2.92
O 0.0591 0.3584 0.1779  1 Al 2.05
O 0.9409 0.6416 0.8221  1 Al 2.05
O 0.3584 0.0591 0.1779  1 Al 2.05

6.
Below is K4Tb3AlO8 after structural relaxation, with properties calculated at the PBE-GGA level.

Unit cell a=6.7754 b=7.3594 c=6.7765 alpha=117.42 beta=119.99 gamma=90.00
Last column: nearest neighbours and their distance in Å.
Positions (direct):
O 0.7296 0.6889 0.4592  3 Tb 2.28
K 0.0000 0.0000 0.5000  6 O 2.75
Tb 0.5000 0.5000 0.5000  6 O 2.28-2.33
K 0.0000 0.0000 0.0000  6 O 2.75
O 0.2114 0.6777 0.9663  1 Al 2.10, 2 Tb 2.33
O 0.2451 0.3223 0.0337  1 Al 2.10, 2 Tb 2.33
K 0.5000 0.0000 0.0000  6 O 2.92-2.93
O 0.2704 0.3111 0.5408  3 Tb 2.28
K 0.5000 0.0000 0.5000  6 O 2.75
Tb 0.5000 0.5000 0.0000  6 O 2.28-2.33
O 0.7549 0.6777 0.9663  1 Al 2.10, 2 Tb 2.33
O 0.7882 0.3219 0.5763  1 Al 2.11, 2 Tb 2.33
O 0.7886 0.3223 0.0337  1 Al 2.10, 2 Tb 2.33
Tb 0.0000 0.5000 0.5000  6 O 2.28-2.33
O 0.2118 0.6781 0.4237  1 Al 2.11, 2 Tb 2.33
Al 0.0000 0.5000 0.0000  6 O 2.10-2.11

7.
Below is K2AlTcO6 after structural relaxation, with properties calculated at the PBE-GGA level.

Unit cell a=5.4763 b=5.4763 c=5.4763 alpha=60.00 beta=60.00 gamma=60.00
Last column: nearest neighbours and their distance in Å.
Positions (direct):
K 0.7500 0.7500 0.7500  12 O 2.74
O 0.7473 0.2527 0.7473  1 Tc 1.92, 1 Al 1.96
K 0.2500 0.2500 0.2500  12 O 2.74
O 0.7473 0.7473 0.2527  1 Tc 1.92, 1 Al 1.96
Tc 0.5000 0.5000 0.5000  6 O 1.92
O 0.2527 0.7473 0.7473  1 Tc 1.92, 1 Al 1.96
O 0.2527 0.7473 0.2527  1 Tc 1.92, 1 Al 1.96
O 0.7473 0.2527 0.2527  1 Tc 1.92, 1 Al 1.96
O 0.2527 0.2527 0.7473  1 Tc 1.92, 1 Al 1.96
Al 0.0000 0.0000 0.0000  6 O 1.96

8.
Below is KAlTc2O8 after structural relaxation, with properties calculated at the PBE-GGA level.

Unit cell a=5.3184 b=5.3184 c=7.8507 alpha=87.07 beta=87.07 gamma=63.97
Last column: nearest neighbours and their distance in Å.
Positions (direct):
O 0.7932 0.2641 0.1716  1 Tc 1.81, 1 Al 1.92
O 0.7359 0.2068 0.8284  1 Tc 1.81, 1 Al 1.92
Tc 0.6358 0.6358 0.2091  4 O 1.74-1.81
O 0.2068 0.7359 0.8284  1 Tc 1.81, 1 Al 1.92
Tc 0.3642 0.3642 0.7909  4 O 1.74-1.81
O 0.2641 0.7932 0.1716  1 Tc 1.81, 1 Al 1.92
O 0.3131 0.3131 0.5800  1 Tc 1.74
K 0.0000 0.0000 0.5000  6 O 2.90-2.93
Al 0.0000 0.0000 0.0000  6 O 1.88-1.92
O 0.7957 0.7957 0.0631  1 Tc 1.79, 1 Al 1.88
O 0.2043 0.2043 0.9369  1 Tc 1.79, 1 Al 1.88
O 0.6869 0.6869 0.4200  1 Tc 1.74

9.
Below is K3AlTe2O9 after structural relaxation, with properties calculated at the PBE-GGA level.

Unit cell a=5.5863 b=5.5863 c=6.8447 alpha=90.00 beta=90.00 gamma=120.00
Last column: nearest neighbours and their distance in Å.
Positions (direct):
O 0.8338 0.6675 0.6661  1 Te 1.92, 1 Al 1.97
Te 0.6667 0.3333 0.8171  6 O 1.92-2.04
O 0.0000 0.5000 0.0000  2 Te 2.04
O 0.5000 0.0000 0.0000  2 Te 2.04
K 0.0000 0.0000 0.0000  12 O 2.79
Al 0.0000 0.0000 0.5000  6 O 1.97
K 0.3333 0.6667 0.6666  12 O 2.79
Te 0.3333 0.6667 0.1829  6 O 1.92-2.04
O 0.1662 0.3325 0.3339  1 Te 1.92, 1 Al 1.97
O 0.1662 0.8338 0.3339  1 Te 1.92, 1 Al 1.97
K 0.6667 0.3333 0.3334  12 O 2.79
O 0.3325 0.1662 0.6661  1 Te 1.92, 1 Al 1.97
O 0.5000 0.5000 0.0000  2 Te 2.04
O 0.8338 0.1662 0.6661  1 Te 1.92, 1 Al 1.97
O 0.6675 0.8338 0.3339  1 Te 1.92, 1 Al 1.97

Number 1: volume 15.8 Å³ per atom, formation energy (no corrections) -2.290 eV/atom. Number 2: volume 14.9 Å³ per atom, formation energy (no corrections) -2.739 eV/atom. Number 3: volume 16.6 Å³ per atom, formation energy (no corrections) -2.572 eV/atom. Number 4: volume 18.8 Å³ per atom, formation energy (no corrections) -2.387 eV/atom. Number 5: volume 15.0 Å³ per atom, formation energy (no corrections) -2.526 eV/atom. Number 6: volume 15.5 Å³ per atom, formation energy (no corrections) -2.549 eV/atom. Number 7: volume 11.6 Å³ per atom, formation energy (no corrections) -1.806 eV/atom. Number 8: volume 16.6 Å³ per atom, formation energy (no corrections) -1.739 eV/atom. Number 9: volume 12.3 Å³ per atom, formation energy (no corrections) -1.477 eV/atom.